[1]
Density functional theory data (PBE-GGA) for a relaxed MnPH6CI3 crystal.

CIF file:
```
data_MnPH6CI3
_symmetry_space_group_name_H-M 'P 1'
_symmetry_Int_Tables_number 1
_symmetry_space_group_name_Hall 'P 1'
_cell_length_a 7.119
_cell_length_b 8.794
_cell_length_c 16.273
_cell_angle_alpha 90.43
_cell_angle_beta 90.63
_cell_angle_gamma 91.28
loop_
_atom_site_label
_atom_site_fract_x
_atom_site_fract_y
_atom_site_fract_z
_atom_site_occupancy
Mn1 0.000 0.000 0.000 1
Mn2 0.024 0.481 0.500 1
Mn3 0.501 0.000 0.999 1
Mn4 0.525 0.479 0.500 1
P1 0.242 0.532 0.885 1
P2 0.261 0.012 0.385 1
P3 0.642 0.990 0.711 1
P4 0.759 0.421 0.223 1
H1 0.078 0.618 0.892 1
H2 0.100 0.101 0.395 1
H3 0.131 0.359 0.781 1
H4 0.132 0.849 0.279 1
H5 0.244 0.426 0.950 1
H6 0.249 0.522 0.738 1
H7 0.256 0.010 0.237 1
H8 0.265 0.902 0.448 1
H9 0.382 0.374 0.784 1
H10 0.384 0.853 0.279 1
H11 0.401 0.631 0.896 1
H12 0.423 0.107 0.394 1
H13 0.502 0.070 0.668 1
H14 0.563 0.848 0.732 1
H15 0.601 0.324 0.233 1
H16 0.623 0.584 0.123 1
H17 0.686 0.071 0.785 1
H18 0.747 0.429 0.076 1
H19 0.764 0.527 0.290 1
H20 0.806 0.899 0.594 1
H21 0.875 0.590 0.120 1
H22 0.899 0.079 0.630 1
H23 0.920 0.332 0.229 1
H24 0.953 0.907 0.684 1
C1 0.252 0.438 0.787 1
C2 0.258 0.922 0.285 1
C3 0.750 0.515 0.126 1
C4 0.845 0.966 0.649 1
I1 0.246 0.765 0.064 1
I2 0.249 0.000 0.856 1
I3 0.259 0.221 0.076 1
I4 0.271 0.245 0.566 1
I5 0.272 0.478 0.357 1
I6 0.286 0.701 0.576 1
I7 0.746 0.776 0.919 1
I8 0.753 0.993 0.139 1
I9 0.758 0.230 0.927 1
I10 0.768 0.250 0.422 1
I11 0.777 0.466 0.639 1
I12 0.781 0.709 0.429 1
```

[2]
Density functional theory data (PBE-GGA) for a relaxed TiH24C6I3N12O6 crystal.

CIF file:
```
data_TiH24C6I3N12O6
_symmetry_space_group_name_H-M 'R -3 c'
_symmetry_Int_Tables_number 167
_symmetry_space_group_name_Hall '-R 3 2"c'
_cell_length_a 17.7200
_cell_length_b 17.7200
_cell_length_c 14.9325
_cell_angle_alpha 90.00
_cell_angle_beta 90.00
_cell_angle_gamma 120.00
loop_
_atom_site_label
_atom_site_fract_x
_atom_site_fract_y
_atom_site_fract_z
_atom_site_occupancy
Ti1 0.0000 0.0000 0.2500 1
H1 0.0559 0.4798 0.1039 1
H2 0.0594 0.2360 0.0834 1
H3 0.0761 0.1660 0.6338 1
H4 0.0781 0.4988 0.5552 1
C1 0.0411 0.1612 0.3689 1
I1 0.0000 0.3756 0.2500 1
N1 0.0427 0.1800 0.1168 1
N2 0.0938 0.5314 0.0628 1
O1 0.0483 0.1099 0.8280 1
```

[3]
Density functional theory data (PBE-GGA) for a relaxed Sb2H18C3I9N9 crystal.

For the relative energy among the computed polymorphs, the calculation gives 0.000 eV/atom.

CIF file:
```
data_Sb2H18C3I9N9
_symmetry_space_group_name_H-M 'C m c m'
_symmetry_Int_Tables_number 63
_symmetry_space_group_name_Hall '-C 2c 2'
_cell_length_a 9.694
_cell_length_b 16.506
_cell_length_c 21.878
_cell_angle_alpha 90.00
_cell_angle_beta 90.00
_cell_angle_gamma 90.00
loop_
_atom_site_label
_atom_site_fract_x
_atom_site_fract_y
_atom_site_fract_z
_atom_site_occupancy
Sb1 0.000 0.222 0.155 1
H1 0.090 0.227 0.585 1
H2 0.090 0.329 0.750 1
H3 0.122 0.456 0.250 1
H4 0.123 0.012 0.595 1
H5 0.212 0.103 0.590 1
H6 0.212 0.453 0.750 1
C1 0.000 0.114 0.591 1
C2 0.000 0.442 0.750 1
I1 0.000 0.072 0.250 1
I2 0.000 0.372 0.083 1
I3 0.220 0.146 0.084 1
I4 0.221 0.297 0.250 1
N1 0.000 0.195 0.588 1
N2 0.000 0.361 0.750 1
N3 0.119 0.482 0.750 1
N4 0.120 0.074 0.594 1
```

[4]
Density functional theory data (PBE-GGA) for a relaxed SnH12C4I3N crystal.

CIF file:
```
data_SnH12C4I3N
_symmetry_space_group_name_H-M 'P 1'
_symmetry_Int_Tables_number 1
_symmetry_space_group_name_Hall 'P 1'
_cell_length_a 7.982
_cell_length_b 10.122
_cell_length_c 18.417
_cell_angle_alpha 86.71
_cell_angle_beta 84.49
_cell_angle_gamma 86.78
loop_
_atom_site_label
_atom_site_fract_x
_atom_site_fract_y
_atom_site_fract_z
_atom_site_occupancy
Sn1 0.000 0.000 0.000 1
Sn2 0.006 0.504 0.501 1
Sn3 0.495 0.007 0.002 1
Sn4 0.501 0.511 0.503 1
H1 0.005 0.025 0.631 1
H2 0.032 0.566 0.801 1
H3 0.035 0.066 0.301 1
H4 0.063 0.392 0.796 1
H5 0.068 0.892 0.298 1
H6 0.123 0.546 0.933 1
H7 0.125 0.050 0.433 1
H8 0.151 0.371 0.926 1
H9 0.155 0.875 0.427 1
H10 0.168 0.501 0.729 1
H11 0.172 0.000 0.229 1
H12 0.277 0.703 0.838 1
H13 0.278 0.206 0.337 1
H14 0.319 0.463 0.950 1
H15 0.322 0.970 0.451 1
H16 0.342 0.287 0.818 1
H17 0.347 0.789 0.320 1
H18 0.407 0.637 0.763 1
H19 0.409 0.138 0.263 1
H20 0.454 0.394 0.760 1
H21 0.458 0.895 0.262 1
H22 0.472 0.620 0.854 1
H23 0.474 0.124 0.354 1
H24 0.476 0.413 0.163 1
H25 0.482 0.919 0.663 1
H26 0.496 0.367 0.848 1
H27 0.500 0.871 0.349 1
H28 0.524 0.579 0.176 1
H29 0.532 0.085 0.675 1
H30 0.545 0.518 0.086 1
H31 0.553 0.022 0.586 1
H32 0.685 0.332 0.257 1
H33 0.689 0.839 0.758 1
H34 0.727 0.243 0.134 1
H35 0.733 0.747 0.636 1
H36 0.741 0.496 0.268 1
H37 0.746 0.003 0.768 1
H38 0.761 0.337 0.058 1
H39 0.768 0.840 0.559 1
H40 0.838 0.645 0.153 1
H41 0.846 0.149 0.653 1
H42 0.852 0.580 0.066 1
H43 0.861 0.083 0.566 1
H44 0.900 0.375 0.241 1
H45 0.905 0.880 0.743 1
H46 0.918 0.299 0.110 1
H47 0.925 0.802 0.612 1
H48 0.997 0.521 0.130 1
C1 0.126 0.486 0.787 1
C2 0.130 0.986 0.288 1
C3 0.214 0.465 0.916 1
C4 0.216 0.970 0.417 1
C5 0.272 0.491 0.835 1
C6 0.275 0.993 0.336 1
C7 0.364 0.620 0.821 1
C8 0.366 0.123 0.321 1
C9 0.562 0.491 0.144 1
C10 0.569 0.996 0.644 1
C11 0.745 0.449 0.155 1
C12 0.752 0.953 0.655 1
C13 0.769 0.410 0.234 1
C14 0.774 0.916 0.735 1
C15 0.866 0.554 0.124 1
C16 0.874 0.058 0.624 1
I1 0.223 0.204 0.086 1
I2 0.230 0.708 0.587 1
I3 0.241 0.787 0.059 1
I4 0.247 0.291 0.560 1
I5 0.257 0.039 0.864 1
I6 0.262 0.542 0.365 1
I7 0.690 0.980 0.145 1
I8 0.695 0.483 0.646 1
I9 0.725 0.249 0.930 1
I10 0.731 0.753 0.431 1
I11 0.782 0.799 0.937 1
I12 0.788 0.304 0.437 1
N1 0.399 0.378 0.813 1
N2 0.403 0.880 0.315 1
N3 0.790 0.325 0.112 1
N4 0.796 0.829 0.613 1
```

[5]
Density functional theory data (PBE-GGA) for a relaxed SrH12C4I3N crystal.

CIF file:
```
data_SrH12C4I3N
_symmetry_space_group_name_H-M 'P 1'
_symmetry_Int_Tables_number 1
_symmetry_space_group_name_Hall 'P 1'
_cell_length_a 8.525
_cell_length_b 9.402
_cell_length_c 10.184
_cell_angle_alpha 66.82
_cell_angle_beta 86.88
_cell_angle_gamma 85.27
loop_
_atom_site_label
_atom_site_fract_x
_atom_site_fract_y
_atom_site_fract_z
_atom_site_occupancy
Sr1 0.000 0.000 0.000 1
Sr2 0.496 0.993 0.001 1
H1 0.029 0.480 0.204 1
H2 0.128 0.297 0.584 1
H3 0.139 0.086 0.484 1
H4 0.147 0.494 0.467 1
H5 0.174 0.135 0.298 1
H6 0.189 0.412 0.138 1
H7 0.200 0.552 0.204 1
H8 0.392 0.223 0.488 1
H9 0.410 0.419 0.369 1
H10 0.422 0.269 0.301 1
H11 0.483 0.622 0.570 1
H12 0.511 0.864 0.613 1
H13 0.548 0.608 0.816 1
H14 0.626 0.681 0.426 1
H15 0.639 0.923 0.471 1
H16 0.654 0.500 0.573 1
H17 0.685 0.922 0.630 1
H18 0.723 0.491 0.818 1
H19 0.734 0.666 0.844 1
H20 0.891 0.765 0.465 1
H21 0.929 0.586 0.613 1
H22 0.934 0.763 0.636 1
H23 0.975 0.399 0.464 1
H24 0.990 0.191 0.360 1
C1 0.103 0.384 0.476 1
C2 0.118 0.176 0.377 1
C3 0.184 0.326 0.367 1
C4 0.363 0.309 0.381 1
C5 0.610 0.622 0.542 1
C6 0.674 0.611 0.785 1
C7 0.699 0.695 0.624 1
C8 0.873 0.704 0.581 1
I1 0.228 0.289 0.937 1
I2 0.250 0.805 0.256 1
I3 0.270 0.886 0.805 1
I4 0.719 0.112 0.189 1
I5 0.750 0.128 0.733 1
I6 0.778 0.697 0.123 1
N1 0.149 0.450 0.218 1
N2 0.629 0.862 0.581 1
```

[6]
Density functional theory data (PBE-GGA) for a relaxed Nb2HCI crystal.

CIF file:
```
data_Nb2HCI
_symmetry_space_group_name_H-M 'P 4/m m m'
_symmetry_Int_Tables_number 123
_symmetry_space_group_name_Hall '-P 4 2'
_cell_length_a 5.122
_cell_length_b 5.122
_cell_length_c 3.360
_cell_angle_alpha 90.00
_cell_angle_beta 90.00
_cell_angle_gamma 90.00
loop_
_atom_site_label
_atom_site_fract_x
_atom_site_fract_y
_atom_site_fract_z
_atom_site_occupancy
Nb1 0.000 0.500 0.000 1
H1 0.000 0.000 0.500 1
C1 0.500 0.500 0.500 1
I1 0.000 0.000 0.000 1
```

Result set for VASP energy: -4.300, -5.953, -4.882, -4.795, -4.855, -4.554 eV per atom, one per record in the order listed.